# 1
The following is a meta-GGA SCAN calculation of a crystal of BaCaCr relaxed with PBEsol, from Alexandria.

a = 5.5063 Å, b = 5.5063 Å, c = 5.5063 Å
α = 60.00°, β = 60.00°, γ = 60.00°
Site moments in Bohr magnetons follow the coordinates.
Fractional coordinates of all 3 atoms:
Cr 0.0000 0.0000 0.0000  4.18
Ca 0.2500 0.2500 0.2500  0.05
Ba 0.5000 0.5000 0.5000  0.03

Output
The calculation puts the calculated formation energy at 2.4 eV/f.u. The density of states at the Fermi level comes out at 4.20 states/eV per cell. The symmetry is No. 216. The calculation puts the energy above the most stable polymorph in this dataset at 96 kJ/mol of formula units. The total energy comes out at -65.2 eV per cell. The calculation puts the total magnetization at 5.21 μB per formula unit.

---

# 2
The following is a meta-GGA SCAN calculation of a crystal of YP relaxed with PBEsol, from Alexandria.

a = 3.9614 Å, b = 3.9614 Å, c = 3.9614 Å
α = 60.00°, β = 60.00°, γ = 60.00°
Fractional coordinates of all 2 atoms:
Y 0.5000 0.5000 0.5000
P 0.0000 0.0000 0.0000

Output
The calculation puts the calculated formation energy at -3.7 eV/f.u. The density of states at the Fermi level comes out at 0.16 states/eV per cell. The symmetry is No. 225. The total energy comes out at -42.0 eV per cell. The calculation puts the total magnetization at 0.00 μB per formula unit.

---

# 3
The following is a meta-GGA SCAN calculation of a crystal of Y2ZnRu2 relaxed with PBEsol, from Alexandria.

a = 4.1524 Å, b = 6.7714 Å, c = 6.7714 Å
α = 90.00°, β = 90.00°, γ = 90.00°
Fractional coordinates of all 10 atoms:
Y 0.5000 0.1757 0.6757
Y 0.5000 0.6757 0.8243
Y 0.5000 0.8243 0.3243
Y 0.5000 0.3243 0.1757
Ru 0.0000 0.3657 0.8657
Ru 0.0000 0.8657 0.6343
Ru 0.0000 0.6343 0.1343
Ru 0.0000 0.1343 0.3657
Zn 0.0000 0.0000 0.0000
Zn 0.0000 0.5000 0.5000

Output
The calculation puts the calculated formation energy at -1.8 eV/f.u. The density of states at the Fermi level comes out at 10.07 states/eV per cell. The symmetry is No. 127. The total energy comes out at -281.3 eV per cell. The calculation puts the total magnetization at 0.01 μB per formula unit.